A plane-wave DFT calculation with PBE-GGA was carried out for an optimized crystal structure of LaHfU.

a = 7.1325 Å, b = 7.1325 Å, c = 7.1325 Å
α = 90.00°, β = 90.00°, γ = 90.00°
With the nearest neighbours (Å) after each atom.
Space group F-43m (No. 216)
Symmetry-distinct sites (fractional):
La 0.0000 0.0000 0.0000 x4  4 Hf 3.09
Hf 0.2500 0.2500 0.2500 x4  4 La 3.09, 4 U 3.09
U 0.0000 0.0000 0.5000 x4  4 Hf 3.09

Properties
M_tot ... 2.517 μB per formula unit
Formation energy from the elements ... 1.161 eV/atom


A plane-wave DFT calculation with PBE-GGA was carried out for an optimized crystal structure of LaHfZn.

a = 6.9658 Å, b = 6.9658 Å, c = 6.9658 Å
α = 90.00°, β = 90.00°, γ = 90.00°
With the nearest neighbours (Å) after each atom.
Space group F-43m (No. 216)
Symmetry-distinct sites (fractional):
La 0.0000 0.0000 0.0000 x4  4 Zn 3.02, 4 Hf 3.02
Hf 0.2500 0.2500 0.7500 x4  4 La 3.02
Zn 0.2500 0.2500 0.2500 x4  4 La 3.02

Properties
M_tot ... 0.891 μB per formula unit
Formation energy from the elements ... 0.953 eV/atom